[1]
Below is a relaxed structure of PuAuBr4, with properties calculated at the GGA-PBE level.

- total moment (μB per formula unit) = 5.0
- space-group type = C2/c
- energy relative to the elements, uncorrected (kJ per mole of atoms) = -97.6

a = 10.5003 Å, b = 10.5003 Å, c = 7.2152 Å
α = 102.69°, β = 102.69°, γ = 133.39°
Element x y z (fractional)
Pu 0.1926 0.8074 0.7500
Pu 0.8074 0.1926 0.2500
Au 0.4130 0.5870 0.2500
Au 0.5870 0.4130 0.7500
Br 0.0417 0.4472 0.7271
Br 0.1138 0.2612 0.2006
Br 0.2612 0.1138 0.7006
Br 0.4472 0.0417 0.2271
Br 0.5528 0.9583 0.7729
Br 0.7388 0.8862 0.2994
Br 0.8862 0.7388 0.7994
Br 0.9583 0.5528 0.2729


[2]
Below is a relaxed structure of PuAuBr, with properties calculated at the GGA-PBE level.

- total moment (μB per formula unit) = 5.8
- E above lowest polymorph (meV per atom) = 13
- space-group type = P-3m1
- energy relative to the elements, uncorrected (kJ per mole of atoms) = -76.4

a = 4.0381 Å, b = 4.0381 Å, c = 12.6376 Å
α = 90.00°, β = 90.00°, γ = 120.00°
Element x y z (fractional)
Pu 0.3333 0.6667 0.2143
Pu 0.6667 0.3333 0.7857
Au 0.3333 0.6667 0.9361
Au 0.6667 0.3333 0.0639
Br 0.3333 0.6667 0.6364
Br 0.6667 0.3333 0.3636


[3]
Below is a relaxed structure of PuAuBr6, with properties calculated at the GGA-PBE level.

- total moment (μB per formula unit) = 3.3
- space-group type = C2/m
- energy relative to the elements, uncorrected (kJ per mole of atoms) = -79.0

a = 7.1928 Å, b = 7.1928 Å, c = 7.4594 Å
α = 104.25°, β = 104.25°, γ = 118.05°
Element x y z (fractional)
Pu 0.0000 0.0000 0.0000
Au 0.5000 0.5000 0.5000
Br 0.1112 0.4266 0.2647
Br 0.2077 0.2077 0.7899
Br 0.4266 0.1112 0.2647
Br 0.5734 0.8888 0.7353
Br 0.7923 0.7923 0.2101
Br 0.8888 0.5734 0.7353


[4]
Below is a relaxed structure of PuAu3Br9, with properties calculated at the GGA-PBE level.

- total moment (μB per formula unit) = 4.0
- space-group type = Cc
- energy relative to the elements, uncorrected (kJ per mole of atoms) = -50.7

a = 10.7845 Å, b = 10.7845 Å, c = 12.9288 Å
α = 115.45°, β = 115.45°, γ = 57.78°
Element x y z (fractional)
Pu 0.2001 0.7999 0.5000
Pu 0.7999 0.2001 0.0000
Au 0.0585 0.2935 0.7664
Au 0.0954 0.5480 0.5206
Au 0.2935 0.0585 0.2664
Au 0.5480 0.0954 0.0206
Au 0.5938 0.9248 0.2531
Au 0.9248 0.5938 0.7531
Br 0.0167 0.5273 0.9409
Br 0.0356 0.1264 0.5602
Br 0.0909 0.2995 0.3809
Br 0.1264 0.0356 0.0602
Br 0.1288 0.7856 0.6824
Br 0.2548 0.7891 0.3114
Br 0.2995 0.0909 0.8809
Br 0.3300 0.4792 0.4651
Br 0.4773 0.7845 0.6288
Br 0.4792 0.3300 0.9651
Br 0.5273 0.0167 0.4409
Br 0.6177 0.8482 0.0513
Br 0.7845 0.4773 0.1288
Br 0.7856 0.1288 0.1824
Br 0.7891 0.2548 0.8114
Br 0.7975 0.9267 0.8520
Br 0.8482 0.6177 0.5513
Br 0.9267 0.7975 0.3520


[5]
Below is a relaxed structure of PuAuBr6, with properties calculated at the GGA-PBE level.

- total moment (μB per formula unit) = 3.2
- space-group type = P-1
- energy relative to the elements, uncorrected (kJ per mole of atoms) = -79.1

a = 6.9033 Å, b = 7.1343 Å, c = 7.6034 Å
α = 64.85°, β = 71.29°, γ = 78.96°
Element x y z (fractional)
Pu 0.0000 0.0000 0.0000
Au 0.0000 0.5000 0.0000
Br 0.1839 0.3656 0.7099
Br 0.2095 0.9817 0.2494
Br 0.3068 0.7390 0.8566
Br 0.6932 0.2610 0.1434
Br 0.7905 0.0183 0.7506
Br 0.8161 0.6344 0.2901


[6]
Below is a relaxed structure of PuAuBr, with properties calculated at the GGA-PBE level.

- total moment (μB per formula unit) = 6.1
- E above lowest polymorph (meV per atom) = 0
- space-group type = P4/nmm
- energy relative to the elements, uncorrected (kJ per mole of atoms) = -77.7

a = 3.9839 Å, b = 3.9839 Å, c = 9.6908 Å
α = 90.00°, β = 90.00°, γ = 90.00°
Element x y z (fractional)
Pu 0.2500 0.2500 0.2479
Pu 0.7500 0.7500 0.7521
Au 0.2500 0.7500 0.0000
Au 0.7500 0.2500 0.0000
Br 0.2500 0.2500 0.6218
Br 0.7500 0.7500 0.3782


[7]
Below is a relaxed structure of Pu2AuBr8, with properties calculated at the GGA-PBE level.

- total moment (μB per formula unit) = 10.0
- space-group type = C2/m
- energy relative to the elements, uncorrected (kJ per mole of atoms) = -102.1

a = 7.4969 Å, b = 7.4969 Å, c = 9.9153 Å
α = 102.73°, β = 102.73°, γ = 54.15°
Element x y z (fractional)
Pu 0.1230 0.1230 0.3885
Pu 0.8770 0.8770 0.6115
Au 0.0000 0.0000 0.0000
Br 0.0984 0.0984 0.6711
Br 0.1438 0.6283 0.8419
Br 0.3393 0.3393 0.4965
Br 0.3717 0.8562 0.1581
Br 0.6283 0.1438 0.8419
Br 0.6607 0.6607 0.5035
Br 0.8562 0.3717 0.1581
Br 0.9016 0.9016 0.3289


[8]
Below is a relaxed structure of Rb2PuAuBr6, with properties calculated at the GGA-PBE level.

- total moment (μB per formula unit) = 5.0
- space-group type = P2_1/c
- energy relative to the elements, uncorrected (kJ per mole of atoms) = -127.7

a = 8.3870 Å, b = 10.0060 Å, c = 11.9087 Å
α = 90.00°, β = 127.95°, γ = 90.00°
Element x y z (fractional)
Rb 0.2064 0.1121 0.2649
Rb 0.2064 0.3879 0.7649
Rb 0.7936 0.6121 0.2351
Rb 0.7936 0.8879 0.7351
Pu 0.5000 0.0000 0.0000
Pu 0.5000 0.5000 0.5000
Au 0.0000 0.0000 0.5000
Au 0.0000 0.5000 0.0000
Br 0.1561 0.1267 0.9457
Br 0.1561 0.3733 0.4457
Br 0.3159 0.7449 0.9416
Br 0.3159 0.7551 0.4416
Br 0.3469 0.0580 0.7003
Br 0.3469 0.4420 0.2003
Br 0.6531 0.5580 0.7997
Br 0.6531 0.9420 0.2997
Br 0.6841 0.2449 0.5584
Br 0.6841 0.2551 0.0584
Br 0.8439 0.6267 0.5543
Br 0.8439 0.8733 0.0543


[9]
Below is a relaxed structure of RbPuAu2Br8, with properties calculated at the GGA-PBE level.

- total moment (μB per formula unit) = 3.6
- space-group type = P-1
- energy relative to the elements, uncorrected (kJ per mole of atoms) = -81.8

a = 7.4677 Å, b = 7.5117 Å, c = 9.7208 Å
α = 94.35°, β = 105.77°, γ = 113.49°
Element x y z (fractional)
Rb 0.0000 0.0000 0.0000
Pu 0.0000 0.0000 0.5000
Au 0.4694 0.4321 0.8002
Au 0.5306 0.5679 0.1998
Br 0.2306 0.4209 0.5637
Br 0.2349 0.5137 0.9879
Br 0.2424 0.9474 0.7454
Br 0.2457 0.9653 0.3513
Br 0.7543 0.0347 0.6487
Br 0.7576 0.0526 0.2546
Br 0.7651 0.4863 0.0121
Br 0.7694 0.5791 0.4363


[10]
Below is a relaxed structure of PuTlAuBr6, with properties calculated at the GGA-PBE level.

- total moment (μB per formula unit) = 4.0
- space-group type = P-31c
- energy relative to the elements, uncorrected (kJ per mole of atoms) = -84.4

a = 7.1976 Å, b = 7.1976 Å, c = 14.7813 Å
α = 90.00°, β = 90.00°, γ = 120.00°
Element x y z (fractional)
Pu 0.3333 0.6667 0.2500
Pu 0.6667 0.3333 0.7500
Tl 0.0000 0.0000 0.0000
Tl 0.0000 0.0000 0.5000
Au 0.3333 0.6667 0.7500
Au 0.6667 0.3333 0.2500
Br 0.0040 0.3618 0.1392
Br 0.0040 0.6422 0.3608
Br 0.3578 0.3618 0.3608
Br 0.3578 0.9960 0.1392
Br 0.3618 0.0040 0.6392
Br 0.3618 0.3578 0.8608
Br 0.6382 0.6422 0.1392
Br 0.6382 0.9960 0.3608
Br 0.6422 0.0040 0.8608
Br 0.6422 0.6382 0.6392
Br 0.9960 0.3578 0.6392
Br 0.9960 0.6382 0.8608


[11]
Below is a relaxed structure of Rb4AuBr2, with properties calculated at the GGA-PBE level.

- total moment (μB per formula unit) = 0.0
- E above lowest polymorph (meV per atom) = 115
- space-group type = I4/mmm
- energy relative to the elements, uncorrected (kJ per mole of atoms) = -88.8

a = 10.0321 Å, b = 10.0321 Å, c = 10.0321 Å
α = 142.25°, β = 142.25°, γ = 54.45°
Element x y z (fractional)
Rb 0.0000 0.5000 0.5000
Rb 0.2020 0.2020 0.0000
Rb 0.5000 0.0000 0.5000
Rb 0.7980 0.7980 0.0000
Au 0.0000 0.0000 0.0000
Br 0.3870 0.3870 0.0000
Br 0.6130 0.6130 0.0000


What did the eleventh record say?
Below is a relaxed structure of Rb4AuBr2, with properties calculated at the GGA-PBE level.

- total moment (μB per formula unit) = 0.0
- E above lowest polymorph (meV per atom) = 115
- space-group type = I4/mmm
- energy relative to the elements, uncorrected (kJ per mole of atoms) = -88.8

a = 10.0321 Å, b = 10.0321 Å, c = 10.0321 Å
α = 142.25°, β = 142.25°, γ = 54.45°
Element x y z (fractional)
Rb 0.0000 0.5000 0.5000
Rb 0.2020 0.2020 0.0000
Rb 0.5000 0.0000 0.5000
Rb 0.7980 0.7980 0.0000
Au 0.0000 0.0000 0.0000
Br 0.3870 0.3870 0.0000
Br 0.6130 0.6130 0.0000


> Look up the total moment of the eleventh one.

0.0 μB per formula unit